CePm2NdSm6: relaxed, PBE.

formation enthalpy at 0 K: 0.2384 eV per atom
spin magnetization: 1.031 μB/cell

a = 9.0171 Å, b = 6.8760 Å, c = 6.7085 Å
α = 120.83°, β = 103.45°, γ = 90.00°
Last column: magnetic moment on the atom in μB.
Atoms (fractional coordinates):
Sm (0.1977, 0.5839, 0.6461)  0.01
Sm (0.8023, 0.9379, 0.3539)  0.01
Sm (0.8023, 0.4161, 0.3539)  0.01
Sm (0.4149, 0.6254, 0.2508)  0.01
Sm (0.1977, 0.0621, 0.6461)  0.01
Sm (0.5851, 0.3746, 0.7492)  0.01
Pm (0.8355, 0.9130, 0.8260)  0.01
Pm (0.1645, 0.0870, 0.1740)  0.01
Ce (0.0000, 0.5000, 0.0000)  0.72
Nd (0.5000, 0.0000, 0.0000)  -0.01